DFT (PBE-GGA) results for an optimized crystal structure of YGeBiS2.

Cell and atoms, written as CIF:
```
data_YGeBiS2
_chemical_formula_sum 'Y1 Ge1 Bi1 S2'
_cell_length_a 4.8331
_cell_length_b 4.8331
_cell_length_c 5.3869
_cell_angle_alpha 90.00
_cell_angle_beta 90.00
_cell_angle_gamma 90.00
_space_group_name_H-M_alt 'P 1'
_space_group_IT_number 1
loop_
_space_group_symop_operation_xyz
'x,y,z'
loop_
_atom_site_label
_atom_site_type_symbol
_atom_site_fract_x
_atom_site_fract_y
_atom_site_fract_z
_atom_site_occupancy
Y1 Y 0.0000 0.0000 0.0000 1
Ge1 Ge 0.5000 0.5000 0.5000 1
Bi1 Bi 0.5000 0.5000 0.0000 1
S1 S 0.0000 0.5000 0.5000 1
S2 S 0.5000 0.0000 0.5000 1
```

Properties
uncorrected formation energy	-0.135	eV/atom
energy	-0.1756	hartree per atom
Fermi-level density of states	2.93	states/eV/cell